1.
The following is a GGA-PBE calculation of crystalline NaPdRu2 at its relaxed geometry, from Alexandria.

Properties
As for the space group: No. 225. The calculation puts the total moment at 0.0 μB per cell. For the distance to the lowest polymorph of the same formula, the calculation gives 0 meV per atom.

Unit cell a=4.419 b=4.419 c=4.419 alpha=60.00 beta=60.00 gamma=60.00
Fractional positions:
Ru: 0.250 0.250 0.250
Ru: 0.750 0.750 0.750
Pd: 0.500 0.500 0.500
Na: 0.000 0.000 0.000

***

2.
The following is a GGA-PBE calculation of crystalline Na2PdRu at its relaxed geometry, from Alexandria.

Properties
As for the space group: No. 122. The calculation puts the total moment at 4.6 μB per cell. For the distance to the lowest polymorph of the same formula, the calculation gives 24 meV per atom.

Unit cell a=7.899 b=7.899 c=6.185 alpha=50.31 beta=50.31 gamma=90.00
Fractional positions:
Ru: 0.500 0.500 0.000
Ru: 0.250 0.750 0.500
Pd: 0.000 0.000 0.000
Pd: 0.750 0.250 0.500
Na: 0.640 0.125 0.250
Na: 0.110 0.625 0.250
Na: 0.375 0.360 0.750
Na: 0.875 0.890 0.750

***

3.
The following is a GGA-PBE calculation of crystalline NaPdRu3 at its relaxed geometry, from Alexandria.

Properties
As for the space group: No. 221. The calculation puts the total moment at 6.2 μB per cell. For the distance to the lowest polymorph of the same formula, the calculation gives 0 meV per atom.

Unit cell a=4.847 b=4.847 c=4.847 alpha=90.00 beta=90.00 gamma=90.00
Fractional positions:
Ru: 0.000 0.500 0.000
Ru: 0.000 0.000 0.500
Ru: 0.500 0.000 0.000
Pd: 0.000 0.000 0.000
Na: 0.500 0.500 0.500

***

4.
The following is a GGA-PBE calculation of crystalline NaPd2Ru at its relaxed geometry, from Alexandria.

Properties
As for the space group: No. 122. The calculation puts the total moment at 5.5 μB per cell. For the distance to the lowest polymorph of the same formula, the calculation gives 278 meV per atom.

Unit cell a=7.281 b=7.281 c=5.859 alpha=51.59 beta=51.59 gamma=90.00
Fractional positions:
Ru: 0.000 0.000 0.000
Ru: 0.750 0.250 0.500
Pd: 0.653 0.125 0.250
Pd: 0.097 0.625 0.250
Pd: 0.375 0.347 0.750
Pd: 0.875 0.903 0.750
Na: 0.500 0.500 0.000
Na: 0.250 0.750 0.500

***

5.
The following is a GGA-PBE calculation of crystalline Na2PdRu at its relaxed geometry, from Alexandria.

Properties
As for the space group: No. 225. The calculation puts the total moment at 2.1 μB per cell. For the distance to the lowest polymorph of the same formula, the calculation gives 0 meV per atom.

Unit cell a=4.723 b=4.723 c=4.723 alpha=60.00 beta=60.00 gamma=60.00
Fractional positions:
Ru: 0.000 0.000 0.000
Pd: 0.500 0.500 0.500
Na: 0.250 0.250 0.250
Na: 0.750 0.750 0.750

***

6.
The following is a GGA-PBE calculation of crystalline NaPdRu3 at its relaxed geometry, from Alexandria.

Properties
As for the space group: No. 221. The calculation puts the total moment at 5.3 μB per cell. For the distance to the lowest polymorph of the same formula, the calculation gives 545 meV per atom.

Unit cell a=4.478 b=4.478 c=4.478 alpha=90.00 beta=90.00 gamma=90.00
Fractional positions:
Ru: 0.000 0.500 0.000
Ru: 0.000 0.000 0.500
Ru: 0.500 0.000 0.000
Pd: 0.500 0.500 0.500
Na: 0.000 0.000 0.000

***

7.
The following is a GGA-PBE calculation of crystalline NaPd2Ru at its relaxed geometry, from Alexandria.

Properties
As for the space group: No. 225. The calculation puts the total moment at 2.9 μB per cell. For the distance to the lowest polymorph of the same formula, the calculation gives 0 meV per atom.

Unit cell a=4.514 b=4.514 c=4.514 alpha=60.00 beta=60.00 gamma=60.00
Fractional positions:
Ru: 0.500 0.500 0.500
Pd: 0.250 0.250 0.250
Pd: 0.750 0.750 0.750
Na: 0.000 0.000 0.000

***

8.
The following is a GGA-PBE calculation of crystalline NaZrPd2Ru at its relaxed geometry, from Alexandria.

Properties
As for the space group: No. 123. The calculation puts the total moment at 1.7 μB per cell. Its total energy is -4.466 eV per atom.

Unit cell a=4.801 b=5.172 c=4.801 alpha=90.00 beta=90.00 gamma=90.00
Fractional positions:
Ru: 0.500 0.500 0.500
Zr: 0.000 0.000 0.000
Pd: 0.000 0.000 0.500
Pd: 0.500 0.000 0.000
Na: 0.000 0.500 0.000

***

Repeat the second record exactly.
The following is a GGA-PBE calculation of crystalline Na2PdRu at its relaxed geometry, from Alexandria.

Properties
As for the space group: No. 122. The calculation puts the total moment at 4.6 μB per cell. For the distance to the lowest polymorph of the same formula, the calculation gives 24 meV per atom.

Unit cell a=7.899 b=7.899 c=6.185 alpha=50.31 beta=50.31 gamma=90.00
Fractional positions:
Ru: 0.500 0.500 0.000
Ru: 0.250 0.750 0.500
Pd: 0.000 0.000 0.000
Pd: 0.750 0.250 0.500
Na: 0.640 0.125 0.250
Na: 0.110 0.625 0.250
Na: 0.375 0.360 0.750
Na: 0.875 0.890 0.750